1.
# PBE-GGA PuMg2Zn, optimized geometry
# - Energy of formation from the pure elements: 133 meV per atom
data_PuMg2Zn
_chemical_formula_sum 'Pu1 Mg2 Zn1'
_space_group_name_H-M_alt 'P 4/m m m'
_space_group_IT_number 123
_space_group_name_Hall '-P 4 2'
_cell_length_a 4.395
_cell_length_b 4.395
_cell_length_c 4.881
_cell_angle_alpha 90.00
_cell_angle_beta 90.00
_cell_angle_gamma 90.00
loop_
_atom_site_label
_atom_site_fract_x
_atom_site_fract_y
_atom_site_fract_z
_atom_site_occupancy
Pu1 0.000 0.000 0.000 1
Mg1 0.000 0.500 0.500 1
Zn1 0.500 0.500 0.000 1

2.
# PBE-GGA YIrN, optimized geometry
# - ΔE_f (raw): -0.64 eV/atom
data_YIrN
_chemical_formula_sum 'Y4 Ir4 N4'
_space_group_name_H-M_alt 'P n m a'
_space_group_IT_number 62
_cell_length_a 5.523
_cell_length_b 3.189
_cell_length_c 11.188
_cell_angle_alpha 90.00
_cell_angle_beta 90.00
_cell_angle_gamma 90.00
loop_
_space_group_symop_operation_xyz
'x,y,z'
'-x,-y,-z'
'-x+1/2,-y,z+1/2'
'x+1/2,y,-z+1/2'
'x+1/2,-y+1/2,-z+1/2'
'-x+1/2,y+1/2,z+1/2'
'-x,y+1/2,-z'
'x,-y+1/2,z'
loop_
_atom_site_label
_atom_site_fract_x
_atom_site_fract_y
_atom_site_fract_z
_atom_site_occupancy
Y1 0.146 0.250 0.165 1
Ir1 0.125 0.750 0.434 1
N1 0.158 0.250 0.797 1

What did the first record say?
# PBE-GGA PuMg2Zn, optimized geometry
# - Energy of formation from the pure elements: 133 meV per atom
data_PuMg2Zn
_chemical_formula_sum 'Pu1 Mg2 Zn1'
_space_group_name_H-M_alt 'P 4/m m m'
_space_group_IT_number 123
_space_group_name_Hall '-P 4 2'
_cell_length_a 4.395
_cell_length_b 4.395
_cell_length_c 4.881
_cell_angle_alpha 90.00
_cell_angle_beta 90.00
_cell_angle_gamma 90.00
loop_
_atom_site_label
_atom_site_fract_x
_atom_site_fract_y
_atom_site_fract_z
_atom_site_occupancy
Pu1 0.000 0.000 0.000 1
Mg1 0.000 0.500 0.500 1
Zn1 0.500 0.500 0.000 1